No. 1
Computed, not measured: KCrOs2 after structural relaxation at the GGA-PBEsol level of DFT.

Cell lengths 3.1084, 3.1084, 7.9979 Å; angles 90.00, 90.00, 90.00 degrees
Last column: nearest neighbours and their distance in Å.
Element x y z (fractional)
Cr 0.0000 0.0000 0.3914  5 Os 2.41-2.44
K 0.5000 0.5000 0.7541  4 K 3.11, 4 Os 3.45
Os 0.0000 0.0000 0.0861  1 Cr 2.44, 4 Os 2.64
Os 0.5000 0.5000 0.2684  4 Cr 2.41, 4 Os 2.64

Computed properties:
- ΔH_f (0 K): 1.0832 eV per atom
- Energy relative to the lowest polymorph listed for this composition: 358 meV/atom
- DOS(E_F): 3.18 states/eV/f.u.

No. 2
Computed, not measured: ScMnTe2 after structural relaxation at the GGA-PBEsol level of DFT.

Cell lengths 4.1016, 4.0478, 5.6882 Å; angles 90.00, 90.00, 90.00 degrees
Last column: nearest neighbours and their distance in Å.
Element x y z (fractional)
Mn 0.4470 0.0000 0.0000  6 Te 2.81-2.96
Sc 0.8101 0.5000 0.5000  6 Te 2.85-2.91
Te 0.9215 0.5000 0.0000  4 Mn 2.81-2.96, 2 Sc 2.88
Te 0.3213 0.0000 0.5000  4 Sc 2.85-2.91, 2 Mn 2.89

Computed properties:
- E_form (uncorrected): -526.3 meV per atom
- DOS(E_F): 2.40 states/eV/f.u.

No. 3
Computed, not measured: CaTa2Cd after structural relaxation at the GGA-PBEsol level of DFT.

Cell lengths 2.8252, 2.8252, 10.3865 Å; angles 90.00, 90.00, 104.40 degrees
Last column: nearest neighbours and their distance in Å.
Element x y z (fractional)
Ca 0.5000 0.5000 0.5000  4 Ca 2.83
Cd 0.5000 0.5000 0.0000  4 Cd 2.83, 4 Ta 2.98
Ta 0.0000 0.0000 0.2334  4 Ta 2.83, 2 Cd 2.98
Ta 0.0000 0.0000 0.7666  4 Ta 2.83, 2 Cd 2.98

Computed properties:
- ΔH_f (0 K): 0.5820 eV per atom
- DOS(E_F): 4.06 states/eV/f.u.